No. 1
{
  "formula": "KNi2Ru",
  "functional": "PBE",
  "state": "optimized geometry",
  "rho_g_cm3": 6.05,
  "volume_a3_per_atom": 17.7,
  "dos_ef_per_ev_cell": 3.84,
  "e_above_lowest_polymorph_mev_per_atom": 0.0,
  "formation_energy_kj_per_mol_atoms": 49.0,
  "cell": [[-0.613, -3.173, -1.363], [1.143, -1.149, 2.159], [-5.498, -1.326, 5.556]],
  "species": ["K", "Ni", "Ni", "Ru"],
  "fractional_positions": [[0.500, 0.750, 0.750], [0.000, 0.911, 0.088], [0.000, 0.589, 0.412], [0.500, 0.250, 0.250]]
}

***

No. 2
{
  "formula": "KMg2Sb",
  "functional": "PBE",
  "state": "optimized geometry",
  "final_energy_ev_per_cell": -8.57,
  "rho_g_cm3": 2.92,
  "volume_a3_per_atom": 29.8,
  "dos_ef_per_ev_cell": 1.27,
  "cell": [[5.302, 0.000, 0.000], [0.000, 3.575, 0.019], [0.000, 0.541, 6.290]],
  "species": ["K", "Mg", "Mg", "Sb"],
  "fractional_positions": [[0.500, 0.750, 0.750], [0.000, 0.166, 0.011], [0.000, 0.334, 0.489], [0.500, 0.250, 0.250]]
}